A plane-wave DFT calculation with PBE was carried out for an optimized crystal structure of CdRe2BiO8.

a = 6.121 Å, b = 6.562 Å, c = 8.090 Å
α = 44.43°, β = 67.77°, γ = 62.20°
Positions (direct):
Cd  0.000  0.000  0.000
Re  0.305  0.283  0.108
Re  0.695  0.717  0.892
Bi  0.500  0.500  0.500
O  0.846  0.533  0.776
O  0.663  0.467  0.207
O  0.154  0.467  0.224
O  0.337  0.533  0.793
O  0.601  0.975  0.237
O  0.399  0.025  0.763
O  0.187  0.975  0.237
O  0.813  0.025  0.763

**DOS at the Fermi energy**: 0.449 states/eV/atom
**Magnetic moment**: 0.000 Bohr magnetons per cell
**E_tot**: -83.97 eV for the cell shown
**Formation energy without anion corrections**: -1217 meV/atom